[1]
Pa3Sn5 after structural relaxation. Source: Alexandria via LeMat-Bulk, functional GGA-PBE.

Results
- final energy (eV/atom) = -6.25
- total magnetic moment (μB per formula unit) = 1.1
- formation energy from the elements (eV/atom) = -0.190

Cell lengths 6.6581, 6.6581, 4.5929 Å; angles 90.00, 90.00, 91.68 degrees
With the nearest neighbours (Å) after each atom.
Positions (direct):
Pa 0.0000 0.0000 0.0000  8 Sn 3.19-3.33, 4 Pa 3.42
Pa 0.2657 0.7343 0.5000  10 Sn 3.21-3.37, 2 Pa 3.42
Pa 0.7343 0.2657 0.5000  10 Sn 3.21-3.37, 2 Pa 3.42
Sn 0.0000 0.5000 0.0000  6 Pa 3.27-3.33, 6 Sn 3.31-3.33
Sn 0.2390 0.2390 0.5000  6 Pa 3.19-3.37, 6 Sn 3.31-3.34
Sn 0.5000 0.0000 0.0000  6 Pa 3.27-3.33, 6 Sn 3.31-3.33
Sn 0.5000 0.5000 0.0000  4 Pa 3.21, 8 Sn 3.33-3.34
Sn 0.7610 0.7610 0.5000  6 Pa 3.19-3.37, 6 Sn 3.31-3.34

=====

[2]
PaSn3 after structural relaxation. Source: Alexandria via LeMat-Bulk, functional GGA-PBE.

Results
- final energy (eV/atom) = -5.26
- total magnetic moment (μB per formula unit) = 0.4
- formation energy from the elements (eV/atom) = 0.112

Cell lengths 3.2163, 3.2586, 10.4173 Å; angles 90.00, 90.00, 90.00 degrees
With the nearest neighbours (Å) after each atom.
Positions (direct):
Pa 0.0000 0.0000 0.0000  4 Pa 3.22-3.26, 6 Sn 3.22-3.28
Sn 0.0000 0.5000 0.2663  8 Sn 3.22-3.39, 2 Pa 3.22
Sn 0.5000 0.0000 0.5067  10 Sn 3.22-3.39
Sn 0.5000 0.5000 0.7746  6 Sn 3.22-3.26, 4 Pa 3.28

=====

- Number 1 is which compound?
  Pa3Sn5